a | # La3ZnHg2

Crystalline La3ZnHg2 at its relaxed geometry (GGA-PBE, Alexandria via LeMat-Bulk).

abc: 8.626 8.626 3.890
angles: 90.00 90.00 143.18
Positions (direct):
La 0.000 0.000 0.000
La 0.339 0.661 0.000
La 0.661 0.339 0.000
Zn 0.500 0.500 0.500
Hg 0.166 0.834 0.500
Hg 0.834 0.166 0.500

- N(E_F) (states/eV/cell) = 7.34
- SG = Cmmm, No. 65

---

b | # La3ZnHg2

Crystalline La3ZnHg2 at its relaxed geometry (GGA-PBE, Alexandria via LeMat-Bulk).

abc: 3.857 3.857 11.593
angles: 90.00 90.00 90.00
Positions (direct):
La 0.000 0.000 0.000
La 0.000 0.000 0.349
La 0.000 0.000 0.651
Zn 0.500 0.500 0.500
Hg 0.500 0.500 0.175
Hg 0.500 0.500 0.825

- N(E_F) (states/eV/cell) = 7.36
- SG = P4/mmm, No. 123

---

Which structure wins on stability? b wins.

---

a | # LaZrHg2

Crystalline LaZrHg2 at its relaxed geometry (GGA-PBE, Alexandria via LeMat-Bulk).

abc: 5.264 5.264 5.264
angles: 60.00 60.00 60.00
Positions (direct):
La 0.000 0.000 0.000
Zr 0.250 0.250 0.250
Hg 0.500 0.500 0.500
Hg 0.750 0.750 0.750

- N(E_F) (states/eV/cell) = 4.20
- SG = F-43m, No. 216

---

b | # LaZrHg2

Crystalline LaZrHg2 at its relaxed geometry (GGA-PBE, Alexandria via LeMat-Bulk).

abc: 5.280 5.280 5.280
angles: 60.00 60.00 60.00
Positions (direct):
La 0.000 0.000 0.000
Zr 0.500 0.500 0.500
Hg 0.250 0.250 0.250
Hg 0.750 0.750 0.750

- N(E_F) (states/eV/cell) = 3.29
- SG = Fm-3m, No. 225

---

c | # LaZrHg2

Crystalline LaZrHg2 at its relaxed geometry (GGA-PBE, Alexandria via LeMat-Bulk).

abc: 3.512 3.512 8.513
angles: 90.00 90.00 90.00
Positions (direct):
La 0.000 0.000 0.000
Zr 0.500 0.500 0.286
Hg 0.000 0.000 0.492
Hg 0.500 0.500 0.726

- N(E_F) (states/eV/cell) = 2.24
- SG = P4mm, No. 99

---

d | # LaZrHg2

Crystalline LaZrHg2 at its relaxed geometry (GGA-PBE, Alexandria via LeMat-Bulk).

abc: 5.067 5.067 6.592
angles: 101.75 101.75 42.30
Positions (direct):
La 0.000 0.000 0.000
Zr 0.500 0.500 0.500
Hg 0.240 0.240 0.698
Hg 0.760 0.760 0.302

- N(E_F) (states/eV/cell) = 3.75
- SG = C2/m, No. 12

---

Which structure wins on stability? b wins.

---

a | # LaZrHg2

Crystalline LaZrHg2 at its relaxed geometry (GGA-PBE, Alexandria via LeMat-Bulk).

abc: 10.774 10.774 10.774
angles: 154.17 154.17 36.85
Positions (direct):
La 0.000 0.000 0.000
La 0.750 0.250 0.500
Zr 0.250 0.750 0.500
Zr 0.500 0.500 0.000
Hg 0.175 0.625 0.050
Hg 0.375 0.425 0.550
Hg 0.575 0.125 0.950
Hg 0.875 0.825 0.450

- N(E_F) (states/eV/cell) = 8.87
- SG = I-42d, No. 122

---

b | # LaZrHg2

Crystalline LaZrHg2 at its relaxed geometry (GGA-PBE, Alexandria via LeMat-Bulk).

abc: 3.872 3.872 7.067
angles: 90.00 90.00 90.00
Positions (direct):
La 0.000 0.000 0.000
Zr 0.500 0.500 0.310
Hg 0.000 0.000 0.493
Hg 0.500 0.500 0.741

- N(E_F) (states/eV/cell) = 3.45
- SG = P4mm, No. 99

---

c | # LaZrHg2

Crystalline LaZrHg2 at its relaxed geometry (GGA-PBE, Alexandria via LeMat-Bulk).

abc: 5.961 5.961 5.961
angles: 135.72 135.72 64.41
Positions (direct):
La 0.000 0.000 0.000
Zr 0.250 0.750 0.500
Hg 0.500 0.500 0.000
Hg 0.750 0.250 0.500

- N(E_F) (states/eV/cell) = 4.84
- SG = I-4m2, No. 119

---

d | # LaZrHg2

Crystalline LaZrHg2 at its relaxed geometry (GGA-PBE, Alexandria via LeMat-Bulk).

abc: 3.370 5.349 5.607
angles: 90.00 90.07 90.00
Positions (direct):
La 0.000 0.000 0.000
Zr 0.997 0.500 0.422
Hg 0.499 0.500 0.887
Hg 0.500 0.000 0.492

- N(E_F) (states/eV/cell) = 4.48
- SG = Pm, No. 6

---

Which structure wins on stability? d wins.

---

a | # LaZr2Hg2

Crystalline LaZr2Hg2 at its relaxed geometry (GGA-PBE, Alexandria via LeMat-Bulk).

abc: 8.780 8.780 3.178
angles: 90.00 90.00 90.00
Positions (direct):
La 0.000 0.000 0.000
La 0.500 0.500 0.000
Zr 0.121 0.379 0.000
Zr 0.379 0.879 0.000
Zr 0.621 0.121 0.000
Zr 0.879 0.621 0.000
Hg 0.175 0.675 0.500
Hg 0.325 0.175 0.500
Hg 0.675 0.825 0.500
Hg 0.825 0.325 0.500

- N(E_F) (states/eV/cell) = 11.59
- SG = P4/mbm, No. 127

---

b | # LaZr2Hg2

Crystalline LaZr2Hg2 at its relaxed geometry (GGA-PBE, Alexandria via LeMat-Bulk).

abc: 8.577 8.577 3.390
angles: 90.00 90.00 90.00
Positions (direct):
La 0.000 0.000 0.000
La 0.500 0.500 0.000
Zr 0.167 0.333 0.500
Zr 0.333 0.833 0.500
Zr 0.667 0.167 0.500
Zr 0.833 0.667 0.500
Hg 0.130 0.630 0.000
Hg 0.370 0.130 0.000
Hg 0.630 0.870 0.000
Hg 0.870 0.370 0.000

- N(E_F) (states/eV/cell) = 11.36
- SG = P4/mbm, No. 127

---

Which structure wins on stability? a wins.

---

a | # LaZr3Hg

Crystalline LaZr3Hg at its relaxed geometry (GGA-PBE, Alexandria via LeMat-Bulk).

abc: 5.131 5.131 5.131
angles: 90.00 90.00 90.00
Positions (direct):
La 0.000 0.000 0.000
Zr 0.000 0.000 0.500
Zr 0.000 0.500 0.000
Zr 0.500 0.000 0.000
Hg 0.500 0.500 0.500

- N(E_F) (states/eV/cell) = 6.57
- SG = Pm-3m, No. 221

---

b | # LaZr3Hg

Crystalline LaZr3Hg at its relaxed geometry (GGA-PBE, Alexandria via LeMat-Bulk).

abc: 5.380 5.380 5.380
angles: 90.00 90.00 90.00
Positions (direct):
La 0.000 0.000 0.000
Zr 0.000 0.500 0.500
Zr 0.500 0.000 0.500
Zr 0.500 0.500 0.000
Hg 0.500 0.500 0.500

- N(E_F) (states/eV/cell) = 7.80
- SG = Pm-3m, No. 221

---

Which structure wins on stability? b wins.

---

a | # Li3Hg2

Crystalline Li3Hg2 at its relaxed geometry (GGA-PBE, Alexandria via LeMat-Bulk).

abc: 7.977 7.977 7.977
angles: 41.02 41.02 41.02
Positions (direct):
Li 0.238 0.750 0.262
Li 0.250 0.738 0.762
Li 0.262 0.238 0.750
Li 0.738 0.762 0.250
Li 0.750 0.262 0.238
Li 0.762 0.250 0.738
Hg 0.184 0.184 0.184
Hg 0.316 0.316 0.316
Hg 0.684 0.684 0.684
Hg 0.816 0.816 0.816

- N(E_F) (states/eV/cell) = 4.66
- SG = R-3c, No. 167

---

b | # Li3Hg2

Crystalline Li3Hg2 at its relaxed geometry (GGA-PBE, Alexandria via LeMat-Bulk).

abc: 11.806 11.806 11.806
angles: 15.48 15.48 15.48
Positions (direct):
Li 0.000 0.000 0.000
Li 0.202 0.202 0.202
Li 0.798 0.798 0.798
Hg 0.399 0.399 0.399
Hg 0.601 0.601 0.601

- N(E_F) (states/eV/cell) = 1.56
- SG = R-3m, No. 166

---

Which structure wins on stability? a wins.

---

a | # Li2Hg3

Crystalline Li2Hg3 at its relaxed geometry (GGA-PBE, Alexandria via LeMat-Bulk).

abc: 5.948 5.948 5.948
angles: 85.45 85.45 85.45
Positions (direct):
Li 0.125 0.125 0.125
Li 0.375 0.375 0.375
Li 0.625 0.625 0.625
Li 0.875 0.875 0.875
Hg 0.069 0.750 0.431
Hg 0.250 0.569 0.931
Hg 0.431 0.069 0.750
Hg 0.569 0.931 0.250
Hg 0.750 0.431 0.069
Hg 0.931 0.250 0.569

- N(E_F) (states/eV/cell) = 3.80
- SG = R-3c, No. 167

---

b | # Li2Hg3

Crystalline Li2Hg3 at its relaxed geometry (GGA-PBE, Alexandria via LeMat-Bulk).

abc: 4.656 4.656 5.673
angles: 90.00 90.00 120.00
Positions (direct):
Li 0.333 0.667 0.336
Li 0.667 0.333 0.664
Hg 0.000 0.000 0.500
Hg 0.333 0.667 0.843
Hg 0.667 0.333 0.157

- N(E_F) (states/eV/cell) = 1.74
- SG = P-3m1, No. 164

---

Which structure wins on stability? b wins.

---

a | # Li5Hg4

Crystalline Li5Hg4 at its relaxed geometry (GGA-PBE, Alexandria via LeMat-Bulk).

abc: 5.140 5.140 8.835
angles: 106.58 106.58 49.06
Positions (direct):
Li 0.000 0.000 0.000
Li 0.335 0.335 0.448
Li 0.342 0.342 0.123
Li 0.658 0.658 0.877
Li 0.665 0.665 0.552
Hg 0.006 0.006 0.332
Hg 0.333 0.333 0.802
Hg 0.667 0.667 0.198
Hg 0.994 0.994 0.668

- N(E_F) (states/eV/cell) = 3.20
- SG = C2/m, No. 12

---

b | # Li5Hg4

Crystalline Li5Hg4 at its relaxed geometry (GGA-PBE, Alexandria via LeMat-Bulk).

abc: 6.714 6.714 6.714
angles: 95.59 95.59 143.62
Positions (direct):
Li 0.000 0.000 0.000
Li 0.328 0.328 0.657
Li 0.328 0.672 0.000
Li 0.672 0.328 0.000
Li 0.672 0.672 0.343
Hg 0.000 0.309 0.309
Hg 0.000 0.691 0.691
Hg 0.309 0.000 0.309
Hg 0.691 0.000 0.691

- N(E_F) (states/eV/cell) = 3.19
- SG = I4/mmm, No. 139

---

Which structure wins on stability? a wins.